# Er5Th2Ru4

Er5Th2Ru4 after structural relaxation (PBE, Alexandria via LeMat-Bulk).

Values from the calculation:
Size of the total moment: 0.0 μB per formula unit
DOS at the Fermi energy: 9.02 states/eV per cell
SG: C2/m, No. 12
DFT total energy: -6.87 eV/atom
E_form: -74 kJ/mol of formula units

abc: 18.694 18.694 4.292
angles: 96.29 96.29 10.52
Atoms (fractional coordinates):
Er 0.000 0.000 0.000
Er 0.279 0.279 0.777
Er 0.343 0.343 0.338
Er 0.657 0.657 0.662
Er 0.721 0.721 0.223
Th 0.416 0.416 0.905
Th 0.584 0.584 0.095
Ru 0.151 0.151 0.156
Ru 0.460 0.460 0.459
Ru 0.540 0.540 0.541
Ru 0.849 0.849 0.844

***

# K2Sn2Se2S

K2Sn2Se2S after structural relaxation (PBE, Alexandria via LeMat-Bulk).

Values from the calculation:
Size of the total moment: 0.0 μB per formula unit
SG: C2/m, No. 12
DFT total energy: -3.75 eV/atom
Raw formation energy: -477 kJ/mol of formula units

abc: 7.659 7.659 7.908
angles: 114.88 114.88 34.63
Atoms (fractional coordinates):
K 0.039 0.039 0.259
K 0.961 0.961 0.741
Sn 0.298 0.298 0.240
Sn 0.702 0.702 0.760
Se 0.348 0.348 0.951
Se 0.652 0.652 0.049
S 0.500 0.500 0.500

***

# CaUCo2

CaUCo2 after structural relaxation (PBE, Alexandria via LeMat-Bulk).

Values from the calculation:
Size of the total moment: 0.0 μB per formula unit
DOS at the Fermi energy: 3.84 states/eV per cell
SG: P4/mmm, No. 123
DFT total energy: -6.90 eV/atom
E_form: -9 kJ/mol of formula units

abc: 3.258 3.258 7.026
angles: 90.00 90.00 90.00
Atoms (fractional coordinates):
Ca 0.000 0.000 0.000
U 0.000 0.000 0.500
Co 0.500 0.500 0.317
Co 0.500 0.500 0.683

***

# Li4In5Hg2

Li4In5Hg2 after structural relaxation (PBE, Alexandria via LeMat-Bulk).

Values from the calculation:
Size of the total moment: 0.0 μB per formula unit
DOS at the Fermi energy: 3.77 states/eV per cell
SG: P2/m, No. 10
DFT total energy: -2.22 eV/atom
E_form: -242 kJ/mol of formula units

abc: 7.775 3.183 9.641
angles: 90.00 94.60 90.00
Atoms (fractional coordinates):
Li 0.208 0.000 0.371
Li 0.234 0.000 0.924
Li 0.766 0.000 0.076
Li 0.792 0.000 0.629
In 0.148 0.500 0.633
In 0.472 0.500 0.172
In 0.500 0.500 0.500
In 0.528 0.500 0.828
In 0.852 0.500 0.367
Hg 0.087 0.500 0.140
Hg 0.913 0.500 0.860

***

# Rb2IN

Rb2IN after structural relaxation (PBE, Alexandria via LeMat-Bulk).

Values from the calculation:
Size of the total moment: 2.0 μB per formula unit
DOS at the Fermi energy: 7.90 states/eV per cell
SG: Fm-3m, No. 225
DFT total energy: -2.80 eV/atom
Raw formation energy: 59 kJ/mol of formula units

abc: 5.948 5.948 5.948
angles: 60.00 60.00 60.00
Atoms (fractional coordinates):
Rb 0.250 0.250 0.250
Rb 0.750 0.750 0.750
I 0.000 0.000 0.000
N 0.500 0.500 0.500